(1)
The following is a meta-GGA SCAN calculation of a PBEsol-optimized structure of Ga3Ru, from Alexandria via LeMat-Bulk.

## Properties
calculated formation energy	-1.785	eV/f.u.
total magnetization	0.00	Bohr magnetons per cell
symmetry	P4_2/mnm (136)

Cell and atoms, written as POSCAR:
```
Ga3Ru
1.0
6.4426 0.0000 0.0000
0.0000 6.4426 0.0000
0.0000 0.0000 6.6579
Ru Ga
4 12
Cartesian
2.2027 2.2027 0.0000 Ru
5.4240 1.0186 3.3289 Ru
1.0186 5.4240 3.3289 Ru
4.2399 4.2399 0.0000 Ru
3.2213 0.0000 0.0000 Ga
1.0018 1.0018 4.8954 Ga
4.2231 2.2195 5.0914 Ga
0.0000 3.2213 0.0000 Ga
2.2195 4.2231 5.0914 Ga
4.2231 2.2195 1.5664 Ga
0.0000 3.2213 3.3289 Ga
5.4408 5.4408 1.7625 Ga
5.4408 5.4408 4.8954 Ga
3.2213 0.0000 3.3289 Ga
2.2195 4.2231 1.5664 Ga
1.0018 1.0018 1.7625 Ga
```



(2)
The following is a meta-GGA SCAN calculation of a PBEsol-optimized structure of Ga2RuS, from Alexandria via LeMat-Bulk.

## Properties
total magnetization	0.00	Bohr magnetons per cell
total DFT energy (no corrections)	-75.077	eV/cell
symmetry	Fm-3m (225)
DOS at the Fermi energy	1.760	states/eV/f.u.

Cell and atoms, written as POSCAR:
```
Ga2RuS
1.0
-3.5960 2.1512 1.1988
-2.0273 -1.0436 3.7144
0.1247 2.7329 3.3929
Ga Ru S
2 1 1
Cartesian
-4.1239 2.8803 6.2296 Ga
-1.3746 0.9601 2.0765 Ga
-2.7493 1.9202 4.1531 Ru
0.0000 0.0000 0.0000 S
```



(3)
The following is a meta-GGA SCAN calculation of a PBEsol-optimized structure of Ta2GaSbRu, from Alexandria via LeMat-Bulk.

## Properties
total magnetization	0.00	Bohr magnetons per cell
total DFT energy (no corrections)	-213.148	eV/cell
symmetry	P4/mmm (123)
DOS at the Fermi energy	3.262	states/eV/f.u.

Cell and atoms, written as POSCAR:
```
Ta2GaSbRu
1.0
4.6504 0.0000 0.0000
0.0000 4.6504 0.0000
0.0000 0.0000 4.8432
Ru Ta Sb Ga
1 2 1 1
Cartesian
2.3252 2.3252 2.4216 Ru
0.0000 2.3252 0.0000 Ta
2.3252 0.0000 0.0000 Ta
0.0000 0.0000 2.4216 Sb
0.0000 0.0000 0.0000 Ga
```



(4)
The following is a meta-GGA SCAN calculation of a PBEsol-optimized structure of GaSbTe2Ru, from Alexandria via LeMat-Bulk.

## Properties
total magnetization	0.00	Bohr magnetons per cell
total DFT energy (no corrections)	-160.586	eV/cell
symmetry	P4/mmm (123)
DOS at the Fermi energy	5.450	states/eV/f.u.

Cell and atoms, written as POSCAR:
```
GaSbTe2Ru
1.0
4.9143 0.0000 0.0000
0.0000 5.2964 0.0000
0.0000 0.0000 5.2964
Te Ru Sb Ga
2 1 1 1
Cartesian
0.0000 0.0000 2.6482 Te
0.0000 2.6482 0.0000 Te
0.0000 0.0000 0.0000 Ru
2.4571 0.0000 0.0000 Sb
2.4571 2.6482 2.6482 Ga
```



(5)
The following is a meta-GGA SCAN calculation of a PBEsol-optimized structure of ScGa2Ru2, from Alexandria via LeMat-Bulk.

## Properties
calculated formation energy	-2.471	eV/f.u.
total magnetization	0.00	Bohr magnetons per cell
symmetry	P4/mbm (127)
DOS at the Fermi energy	1.870	states/eV/f.u.

Cell and atoms, written as POSCAR:
```
ScGa2Ru2
1.0
-3.0756 -0.1531 -0.0548
0.0409 -3.0712 6.2896
-0.3672 6.2801 3.0690
Ga Ru Sc
4 4 2
Cartesian
-1.7703 3.5443 2.9092 Ga
-1.8234 3.2669 6.6689 Ga
-1.5785 -0.2111 2.6349 Ga
-1.6317 -0.4885 6.3946 Ga
-0.0275 -1.0647 4.5182 Ru
-0.2026 1.4412 7.3514 Ru
-0.2989 4.2736 4.8403 Ru
-0.1237 1.7677 2.0071 Ru
-0.1632 1.6044 4.6793 Sc
0.0000 0.0000 0.0000 Sc
```



(6)
The following is a meta-GGA SCAN calculation of a PBEsol-optimized structure of Sc2GaRu2, from Alexandria via LeMat-Bulk.

## Properties
calculated formation energy	-3.136	eV/f.u.
total magnetization	0.00	Bohr magnetons per cell
symmetry	P4/mbm (127)
DOS at the Fermi energy	1.888	states/eV/f.u.

Cell and atoms, written as POSCAR:
```
Sc2GaRu2
1.0
-1.8857 3.1414 -1.5029
-5.5931 -3.3399 0.0365
-1.2385 2.1400 6.0270
Ga Ru Sc
2 4 4
Cartesian
-3.4158 -0.5999 3.0318 Ga
0.0000 0.0000 0.0000 Ga
-3.0719 0.6392 5.1904 Ru
-5.5984 -1.4973 3.8946 Ru
-3.7597 -1.8391 0.8732 Ru
-1.2332 0.2974 2.1689 Ru
-5.7262 1.0991 4.2644 Sc
-2.9911 0.8425 0.2962 Sc
-5.9812 -0.4930 1.2566 Sc
-2.7361 2.4345 3.3040 Sc
```



(7)
The following is a meta-GGA SCAN calculation of a PBEsol-optimized structure of Sc2Ga2Ru, from Alexandria via LeMat-Bulk.

## Properties
calculated formation energy	-3.298	eV/f.u.
total magnetization	0.00	Bohr magnetons per cell
symmetry	P4/mbm (127)
DOS at the Fermi energy	3.541	states/eV/f.u.

Cell and atoms, written as POSCAR:
```
Sc2Ga2Ru
1.0
3.7304 0.0000 0.0000
0.0000 6.7390 0.0000
0.0000 0.0000 6.7390
Ru Sc Ga
2 4 4
Cartesian
0.0000 3.3695 3.3695 Ru
0.0000 0.0000 0.0000 Ru
1.8652 4.5564 5.5521 Sc
1.8652 5.5521 2.1826 Sc
1.8652 1.1869 4.5564 Sc
1.8652 2.1826 1.1869 Sc
0.0000 4.2513 0.8818 Ga
0.0000 2.4877 5.8572 Ga
0.0000 0.8818 2.4877 Ga
0.0000 5.8572 4.2513 Ga
```



(8)
The following is a meta-GGA SCAN calculation of a PBEsol-optimized structure of ScGa2Ru, from Alexandria via LeMat-Bulk.

## Properties
calculated formation energy	-2.501	eV/f.u.
total magnetization	0.00	Bohr magnetons per cell
symmetry	Fm-3m (225)
DOS at the Fermi energy	1.368	states/eV/f.u.

Cell and atoms, written as POSCAR:
```
ScGa2Ru
1.0
4.3914 0.0000 0.0000
2.1957 3.8031 0.0000
2.1957 1.2677 3.5856
Sc Ru Ga
1 1 2
Cartesian
0.0000 0.0000 0.0000 Sc
4.3914 2.5354 1.7928 Ru
6.5871 3.8031 2.6892 Ga
2.1957 1.2677 0.8964 Ga
```



(9)
The following is a meta-GGA SCAN calculation of a PBEsol-optimized structure of Sm2Ga9Ru5, from Alexandria via LeMat-Bulk.

## Properties
calculated formation energy	-9.612	eV/f.u.
total magnetization	0.00	Bohr magnetons per cell
symmetry	I4/mmm (139)
DOS at the Fermi energy	2.590	states/eV/f.u.

Cell and atoms, written as POSCAR:
```
Sm2Ga9Ru5
1.0
6.1127 0.0000 0.0000
0.0000 6.1127 0.0000
-3.0564 -3.0564 6.7075
Ga Ru Sm
9 5 2
Cartesian
-1.2795 -1.2795 4.6993 Ga
1.2795 1.2795 4.6993 Ga
1.7769 1.7769 2.0082 Ga
4.3358 1.7769 2.0082 Ga
1.7769 4.3358 2.0082 Ga
1.2795 -1.2795 4.6993 Ga
0.0000 0.0000 0.0000 Ga
-1.2795 1.2795 4.6993 Ga
4.3358 4.3358 2.0082 Ga
3.0564 3.0564 0.0000 Ru
3.0564 0.0000 3.3538 Ru
0.0000 0.0000 2.4282 Ru
3.0564 3.0564 4.2793 Ru
0.0000 3.0564 3.3538 Ru
3.0564 0.0000 0.0000 Sm
0.0000 3.0564 0.0000 Sm
```



(10)
The following is a meta-GGA SCAN calculation of a PBEsol-optimized structure of Sm2Ga9Ru3, from Alexandria via LeMat-Bulk.

## Properties
calculated formation energy	-8.862	eV/f.u.
total magnetization	0.00	Bohr magnetons per cell
symmetry	Cmcm (63)
DOS at the Fermi energy	5.654	states/eV/f.u.

Cell and atoms, written as POSCAR:
```
Sm2Ga9Ru3
1.0
7.3925 0.0483 0.0000
-3.6014 6.4561 0.0000
0.0000 0.0000 9.6370
Ga Ru Sm
18 6 4
Cartesian
4.9298 4.3170 0.7305 Ga
0.5119 0.8783 7.2277 Ga
2.4645 0.0873 5.5490 Ga
1.3266 6.4171 4.0879 Ga
1.3266 6.4171 0.7305 Ga
2.5083 4.3035 9.0661 Ga
0.5218 3.5922 7.2277 Ga
0.9226 4.2800 2.4092 Ga
-1.1387 2.1874 8.9064 Ga
3.2694 2.9122 2.4092 Ga
2.8685 2.2244 7.2277 Ga
2.4645 0.0873 8.9064 Ga
4.9298 4.3170 4.0879 Ga
1.2828 2.2009 4.2476 Ga
3.2792 5.6262 2.4092 Ga
2.5083 4.3035 5.3894 Ga
1.2828 2.2009 0.5709 Ga
-1.1387 2.1874 5.5490 Ga
3.8291 2.1253 0.0000 Ru
3.8291 2.1253 4.8185 Ru
-0.0380 4.3792 4.8185 Ru
0.0000 0.0000 0.0000 Ru
-0.0380 4.3792 0.0000 Ru
0.0000 0.0000 4.8185 Ru
1.3991 6.4775 7.2277 Sm
4.9466 4.4098 7.2277 Sm
-1.1555 2.0946 2.4092 Sm
2.3920 0.0270 2.4092 Sm
```



(11)
The following is a meta-GGA SCAN calculation of a PBEsol-optimized structure of GaSnRu2, from Alexandria via LeMat-Bulk.

## Properties
calculated formation energy	-0.707	eV/f.u.
total magnetization	0.00	Bohr magnetons per cell
symmetry	Fm-3m (225)
DOS at the Fermi energy	1.885	states/eV/f.u.

Cell and atoms, written as POSCAR:
```
GaSnRu2
1.0
4.3696 0.0000 0.0000
2.1848 3.7842 0.0000
2.1848 1.2614 3.5677
Ru Ga Sn
2 1 1
Cartesian
2.1848 1.2614 0.8919 Ru
6.5543 3.7842 2.6758 Ru
0.0000 0.0000 0.0000 Ga
4.3696 2.5228 1.7839 Sn
```



(12)
The following is a meta-GGA SCAN calculation of a PBEsol-optimized structure of TbGa3Ru, from Alexandria via LeMat-Bulk.

## Properties
calculated formation energy	-3.455	eV/f.u.
total magnetization	0.00	Bohr magnetons per cell
symmetry	Pm-3m (221)
DOS at the Fermi energy	2.146	states/eV/f.u.

Cell and atoms, written as POSCAR:
```
TbGa3Ru
1.0
6.3417 0.0000 0.0000
0.0000 6.3417 0.0000
0.0000 0.0000 6.3417
Ga Ru Tb
9 3 3
Cartesian
5.0100 1.3317 5.0100 Ga
1.3317 1.3317 1.3317 Ga
5.0100 1.3317 1.3317 Ga
1.3317 5.0100 1.3317 Ga
5.0100 5.0100 1.3317 Ga
5.0100 5.0100 5.0100 Ga
3.1708 3.1708 3.1708 Ga
1.3317 1.3317 5.0100 Ga
1.3317 5.0100 5.0100 Ga
0.0000 0.0000 3.1708 Ru
3.1708 0.0000 0.0000 Ru
0.0000 3.1708 0.0000 Ru
0.0000 3.1708 3.1708 Tb
3.1708 3.1708 0.0000 Tb
3.1708 0.0000 3.1708 Tb
```